*1*
A plane-wave DFT calculation with GGA-PBE was carried out for an optimized crystal structure of HoSi3Os3.

Values from the calculation:
Mass density, g/cm³: 10.8

Lattice parameters (Å, degrees): 7.6290 7.6290 7.6290 51.58 51.58 51.58
Last column: nearest neighbours and their distance in Å.
Fractional coordinates of all 14 atoms:
Ho1 0.1655 0.1655 0.1655  6 Si 2.94-3.12, 6 Os 3.06-3.23
Ho2 0.8345 0.8345 0.8345  6 Si 2.94-3.12, 6 Os 3.06-3.23
Si1 0.1512 0.6899 0.3898  4 Os 2.32-2.47
Si2 0.3102 0.6102 0.8488  4 Os 2.32-2.47
Si3 0.3898 0.1512 0.6898  4 Os 2.32-2.47
Si4 0.6102 0.8488 0.3102  4 Os 2.32-2.47
Si5 0.6898 0.3898 0.1512  4 Os 2.32-2.47
Si6 0.8488 0.3102 0.6102  4 Os 2.32-2.47
Os1 0.0131 0.5901 0.2542  4 Si 2.32-2.47
Os2 0.2542 0.0131 0.5901  4 Si 2.32-2.47
Os3 0.4099 0.7458 0.9869  4 Si 2.32-2.47
Os4 0.5901 0.2542 0.0131  4 Si 2.32-2.47
Os5 0.7458 0.9869 0.4099  4 Si 2.32-2.47
Os6 0.9869 0.4099 0.7458  4 Si 2.32-2.47



*2*
A plane-wave DFT calculation with GGA-PBE was carried out for an optimized crystal structure of HoSi3Os3.

Values from the calculation:
Mass density, g/cm³: 9.8

Lattice parameters (Å, degrees): 6.5170 6.5170 6.5170 90.00 90.00 90.00
Last column: nearest neighbours and their distance in Å.
Fractional coordinates of all 14 atoms:
Ho1 0.0000 0.0000 0.0000  12 Os 3.64, 12 Si 3.64
Ho2 0.5000 0.5000 0.5000  12 Os 3.64, 12 Si 3.64
Si1 0.0000 0.2500 0.5000  4 Os 2.30
Si2 0.0000 0.7500 0.5000  4 Os 2.30
Si3 0.2500 0.5000 0.0000  4 Os 2.30
Si4 0.5000 0.0000 0.2500  4 Os 2.30
Si5 0.5000 0.0000 0.7500  4 Os 2.30
Si6 0.7500 0.5000 0.0000  4 Os 2.30
Os1 0.0000 0.5000 0.2500  4 Si 2.30
Os2 0.0000 0.5000 0.7500  4 Si 2.30
Os3 0.2500 0.0000 0.5000  4 Si 2.30
Os4 0.5000 0.2500 0.0000  4 Si 2.30
Os5 0.5000 0.7500 0.0000  4 Si 2.30
Os6 0.7500 0.0000 0.5000  4 Si 2.30



*1* takes first place; second place is 319 meV/atom up.



*1*
A plane-wave DFT calculation with GGA-PBE was carried out for an optimized crystal structure of HoSi2Os2.

Values from the calculation:
Mass density, g/cm³: 12.0

Lattice parameters (Å, degrees): 4.0798 4.0798 4.9998 90.00 90.00 90.00
Last column: nearest neighbours and their distance in Å.
Fractional coordinates of all 5 atoms:
Ho1 0.0000 0.0000 0.0000  8 Si 3.11, 8 Os 3.23
Si1 0.5000 0.5000 0.2343  1 Si 2.34, 4 Os 2.43
Si2 0.5000 0.5000 0.7657  1 Si 2.34, 4 Os 2.43
Os1 0.0000 0.5000 0.5000  4 Si 2.43
Os2 0.5000 0.0000 0.5000  4 Si 2.43



*2*
A plane-wave DFT calculation with GGA-PBE was carried out for an optimized crystal structure of HoSi2Os2.

Values from the calculation:
Mass density, g/cm³: 12.0

Lattice parameters (Å, degrees): 5.6494 5.6494 5.6494 136.76 136.76 62.81
Last column: nearest neighbours and their distance in Å.
Fractional coordinates of all 5 atoms:
Ho1 0.0000 0.0000 0.0000  8 Os 3.19, 8 Si 3.19
Si1 0.3728 0.3728 0.0000  4 Os 2.39, 1 Si 2.45
Si2 0.6272 0.6272 0.0000  4 Os 2.39, 1 Si 2.45
Os1 0.2500 0.7500 0.5000  4 Si 2.39
Os2 0.7500 0.2500 0.5000  4 Si 2.39



*2* takes first place; second place is 185 meV/atom up.



*1*
A plane-wave DFT calculation with GGA-PBE was carried out for an optimized crystal structure of SmHo3Os.

Values from the calculation:
Mass density, g/cm³: 9.6

Lattice parameters (Å, degrees): 7.1745 7.8058 10.3724 90.00 98.04 90.00
Last column: nearest neighbours and their distance in Å.
Fractional coordinates of all 20 atoms:
Sm1 0.2129 0.0213 0.2397  2 Os 2.88-3.11
Sm2 0.2129 0.4787 0.7397  2 Os 2.88-3.11
Sm3 0.7871 0.5213 0.2603  2 Os 2.88-3.11
Sm4 0.7871 0.9787 0.7603  2 Os 2.88-3.11
Ho1 0.0928 0.6957 0.0282  1 Os 2.78
Ho2 0.0928 0.8043 0.5282  1 Os 2.78
Ho3 0.3032 0.5006 0.3527  2 Os 2.86-2.88
Ho4 0.3032 0.9994 0.8527  2 Os 2.86-2.88
Ho5 0.3985 0.1502 0.5719  3 Os 2.86-3.02
Ho6 0.3985 0.3498 0.0719  3 Os 2.86-3.02
Ho7 0.6015 0.6502 0.9281  3 Os 2.86-3.02
Ho8 0.6015 0.8498 0.4281  3 Os 2.86-3.02
Ho9 0.6968 0.0006 0.1473  2 Os 2.86-2.88
Ho10 0.6968 0.4994 0.6473  2 Os 2.86-2.88
Ho11 0.9072 0.1957 0.4718  1 Os 2.78
Ho12 0.9072 0.3043 0.9718  1 Os 2.78
Os1 0.4537 0.7146 0.1654  6 Ho 2.78-3.02, 1 Sm 2.88
Os2 0.4537 0.7854 0.6654  6 Ho 2.78-3.02, 1 Sm 2.88
Os3 0.5463 0.2146 0.3346  6 Ho 2.78-3.02, 1 Sm 2.88
Os4 0.5463 0.2854 0.8346  6 Ho 2.78-3.02, 1 Sm 2.88



*2*
A plane-wave DFT calculation with GGA-PBE was carried out for an optimized crystal structure of SmHo3Os.

Values from the calculation:
Mass density, g/cm³: 8.7

Lattice parameters (Å, degrees): 5.4138 5.4138 5.4138 90.00 90.00 90.00
Last column: nearest neighbours and their distance in Å.
Fractional coordinates of all 5 atoms:
Sm1 0.0000 0.0000 0.0000  12 Ho 3.83
Ho1 0.0000 0.5000 0.5000  2 Os 2.71
Ho2 0.5000 0.0000 0.5000  2 Os 2.71
Ho3 0.5000 0.5000 0.0000  2 Os 2.71
Os1 0.5000 0.5000 0.5000  6 Ho 2.71



*1* takes first place; second place is 107 meV/atom up.



*1*
A plane-wave DFT calculation with GGA-PBE was carried out for an optimized crystal structure of SmHoOs.

Values from the calculation:
Mass density, g/cm³: 12.1

Lattice parameters (Å, degrees): 5.4559 5.4559 8.0973 90.00 90.00 120.00
Last column: nearest neighbours and their distance in Å.
Fractional coordinates of all 9 atoms:
Sm1 0.1742 0.3484 0.3333  4 Ho 3.03-3.19, 5 Os 3.03-3.21
Sm2 0.1742 0.8258 0.6667  4 Ho 3.03-3.19, 5 Os 3.03-3.21
Sm3 0.6516 0.8258 0.0000  4 Ho 3.03-3.19, 5 Os 3.03-3.21
Ho1 0.3725 0.1862 0.0000  5 Os 3.01-3.22, 4 Sm 3.03-3.19
Ho2 0.8138 0.1862 0.6667  5 Os 3.01-3.22, 4 Sm 3.03-3.19
Ho3 0.8138 0.6275 0.3333  5 Os 3.01-3.22, 4 Sm 3.03-3.19
Os1 0.0093 0.5046 0.0000  5 Ho 3.01-3.22, 5 Sm 3.03-3.21
Os2 0.4954 0.5046 0.6667  5 Ho 3.01-3.22, 5 Sm 3.03-3.21
Os3 0.4954 0.9907 0.3333  5 Ho 3.01-3.22, 5 Sm 3.03-3.21



*2*
A plane-wave DFT calculation with GGA-PBE was carried out for an optimized crystal structure of SmHoOs.

Values from the calculation:
Mass density, g/cm³: 10.8

Lattice parameters (Å, degrees): 7.1080 7.1080 7.1080 152.18 152.18 39.75
Last column: nearest neighbours and their distance in Å.
Fractional coordinates of all 3 atoms:
Sm1 0.0000 0.0000 0.0000  4 Os 2.97
Ho1 0.2501 0.2501 0.0000  4 Os 2.91
Os1 0.6292 0.6292 0.0000  4 Ho 2.91, 4 Sm 2.97



*3*
A plane-wave DFT calculation with GGA-PBE was carried out for an optimized crystal structure of SmHoOs.

Values from the calculation:
Mass density, g/cm³: 10.6

Lattice parameters (Å, degrees): 4.8136 4.8136 4.8136 60.00 60.00 60.00
Last column: nearest neighbours and their distance in Å.
Fractional coordinates of all 3 atoms:
Sm1 0.0000 0.0000 0.0000  4 Os 2.95
Ho1 0.5000 0.5000 0.5000  4 Os 2.95
Os1 0.2500 0.2500 0.2500  4 Ho 2.95, 4 Sm 2.95



*2* takes first place; second place is 15 meV/atom up.



*1*
A plane-wave DFT calculation with GGA-PBE was carried out for an optimized crystal structure of SrHo2Os.

Values from the calculation:
Mass density, g/cm³: 8.5

Lattice parameters (Å, degrees): 3.4513 3.4513 9.9670 90.00 90.00 90.00
Last column: nearest neighbours and their distance in Å.
Fractional coordinates of all 4 atoms:
Sr1 0.0000 0.0000 0.0000  4 Sr 3.45
Ho1 0.5000 0.5000 0.3375  4 Os 2.93, 1 Ho 3.24
Ho2 0.5000 0.5000 0.6625  4 Os 2.93, 1 Ho 3.24
Os1 0.0000 0.0000 0.5000  8 Ho 2.93



*2*
A plane-wave DFT calculation with GGA-PBE was carried out for an optimized crystal structure of SrHo2Os.

Values from the calculation:
Mass density, g/cm³: 6.8

Lattice parameters (Å, degrees): 10.9304 10.9304 10.9304 21.13 21.13 21.13
Last column: nearest neighbours and their distance in Å.
Fractional coordinates of all 4 atoms:
Sr1 0.0000 0.0000 0.0000  2 Ho 3.88, 6 Sr 4.01
Ho1 0.1211 0.1211 0.1211  3 Os 2.74
Ho2 0.8789 0.8789 0.8789  3 Os 2.74
Os1 0.5000 0.5000 0.5000  6 Ho 2.74



*1* takes first place; second place is 269 meV/atom up.